Compound: LaTa2SiSe
Source: the Alexandria database
Functional: PBE
Structure: relaxed

Cell and atoms, written as POSCAR:
```
LaTa2SiSe
1.0
5.127 0.000 0.000
0.000 5.127 0.000
0.000 0.000 5.419
La Ta Si Se
1 2 1 1
direct
0.000 0.000 0.000
0.000 0.500 0.000
0.500 0.000 0.000
0.500 0.500 0.500
0.000 0.000 0.500
```

## Properties
Space group = P4/mmm, No. 123

---

Compound: La2SiTcSe
Source: the Alexandria database
Functional: PBE
Structure: relaxed

Cell and atoms, written as POSCAR:
```
La2SiTcSe
1.0
5.684 0.000 0.000
0.000 5.684 0.000
0.000 0.000 4.659
La Si Tc Se
2 1 1 1
direct
0.000 0.500 0.000
0.500 0.000 0.000
0.000 0.000 0.000
0.500 0.500 0.500
0.000 0.000 0.500
```

## Properties
Space group = P4/mmm, No. 123

---

Compound: La6SiTe3Se2
Source: the Alexandria database
Functional: PBE
Structure: relaxed

Cell and atoms, written as POSCAR:
```
La6SiTe3Se2
1.0
9.800 -2.216 0.000
9.800 2.216 0.000
-2.284 0.000 8.718
La Si Te Se
6 1 3 2
direct
0.004 0.004 0.231
0.329 0.329 0.431
0.342 0.342 0.908
0.658 0.658 0.092
0.671 0.671 0.569
0.996 0.996 0.769
0.500 0.500 0.000
0.168 0.168 0.832
0.500 0.500 0.500
0.832 0.832 0.168
0.167 0.167 0.333
0.833 0.833 0.667
```

## Properties
Space group = C2/m, No. 12

---

Compound: La4SiTeSe2
Source: the Alexandria database
Functional: PBE
Structure: relaxed

Cell and atoms, written as POSCAR:
```
La4SiTeSe2
1.0
7.580 0.000 0.000
0.000 4.403 0.000
-2.561 0.000 7.297
La Si Te Se
4 1 1 2
direct
0.244 0.000 0.231
0.254 0.500 0.765
0.746 0.500 0.235
0.756 0.000 0.769
0.500 0.000 0.000
0.500 0.500 0.500
0.000 0.000 0.500
0.000 0.500 0.000
```

## Properties
Space group = P2/m, No. 10

---

Compound: La6Si2TeSe3
Source: the Alexandria database
Functional: PBE
Structure: relaxed

Cell and atoms, written as POSCAR:
```
La6Si2TeSe3
1.0
9.569 -2.197 0.000
9.569 2.197 0.000
-1.947 0.000 8.618
La Si Te Se
6 2 1 3
direct
0.006 0.006 0.266
0.328 0.328 0.901
0.331 0.331 0.422
0.669 0.669 0.578
0.672 0.672 0.099
0.994 0.994 0.734
0.166 0.166 0.333
0.834 0.834 0.667
0.500 0.500 0.000
0.163 0.163 0.835
0.500 0.500 0.500
0.837 0.837 0.165
```

## Properties
Space group = C2/m, No. 12

---

Compound: LaThSiSe
Source: the Alexandria database
Functional: PBE
Structure: relaxed

Cell and atoms, written as POSCAR:
```
LaThSiSe
1.0
2.151 1.242 7.069
-2.151 1.242 7.069
0.000 -2.484 7.069
La Th Si Se
1 1 1 1
direct
0.000 0.000 0.000
0.491 0.491 0.491
0.749 0.749 0.749
0.243 0.243 0.243
```

## Properties
Space group = R3m, No. 160

---

| no. | formation energy (no corrections) (eV/f.u.) | total DFT energy (no corrections) (eV for the cell shown) | Fermi-level density of states (states/eV per cell) |
| --- | --- | --- | --- |
| 1 | 11.09 | -26.45 | 7.680 |
| 2 | 2.58 | -26.55 | 5.717 |
| 3 | -19.43 | -70.81 | 6.325 |
| 4 | -12.81 | -48.06 | 3.576 |
| 5 | -18.33 | -72.33 | 4.535 |
| 6 | -5.11 | -26.36 | 2.094 |